## Zr2AsPb (GGA-PBE)

Data for a relaxed Zr2AsPb crystal.

a = 10.7499 Å, b = 3.7020 Å, c = 4.6137 Å
α = 90.00°, β = 102.44°, γ = 90.00°
Space group Cm (No. 8)
Symmetry-distinct sites (fractional):
Zr 0.0000 0.0000 0.0000 [2 per cell]
Zr 0.2185 0.0000 0.5987 [2 per cell]
As 0.2173 0.5000 0.0775 [2 per cell]
Pb 0.4755 0.0000 0.4821 [2 per cell]

Calculated formation energy   -0.358 eV/atom
Theoretical density   8.60 g/cm3

## KMgAsSe2 (GGA-PBE)

Data for a relaxed KMgAsSe2 crystal.

a = 5.2649 Å, b = 5.2649 Å, c = 5.0397 Å
α = 90.00°, β = 90.00°, γ = 90.00°
Space group P4/mmm (No. 123)
Symmetry-distinct sites (fractional):
K 0.0000 0.0000 0.0000 [1 per cell]
Mg 0.5000 0.5000 0.5000 [1 per cell]
As 0.5000 0.5000 0.0000 [1 per cell]
Se 0.0000 0.5000 0.5000 [2 per cell]

Formation energy (no corrections)   -0.236 eV per atom
Theoretical density   3.52 g/cm3

## FeNiSnPt (GGA-PBE)

Data for a relaxed FeNiSnPt crystal.

a = 6.1789 Å, b = 6.1789 Å, c = 6.1789 Å
α = 90.00°, β = 90.00°, γ = 90.00°
Space group F-43m (No. 216)
Symmetry-distinct sites (fractional):
Fe 0.0000 0.0000 0.0000 [4 per cell]
Ni 0.0000 0.0000 0.5000 [4 per cell]
Sn 0.2500 0.2500 0.7500 [4 per cell]
Pt 0.2500 0.2500 0.2500 [4 per cell]

Calculated formation energy   -0.114 eV/atom
Theoretical density   12.06 g/cm3

## Tb5SbAu2 (GGA-PBE)

Data for a relaxed Tb5SbAu2 crystal.

a = 8.1152 Å, b = 8.1152 Å, c = 13.1137 Å
α = 90.00°, β = 90.00°, γ = 90.00°
Space group I4/mcm (No. 140)
Symmetry-distinct sites (fractional):
Tb 0.0000 0.0000 0.0000 [4 per cell]
Tb 0.1559 0.3441 0.1433 [16 per cell]
Sb 0.0000 0.0000 0.2500 [4 per cell]
Au 0.1368 0.3632 0.5000 [8 per cell]

Formation energy (no corrections)   -0.754 eV per atom
Theoretical density   10.08 g/cm3

## Dy9Tm4Zn11 (GGA-PBE)

Data for a relaxed Dy9Tm4Zn11 crystal.

a = 15.3995 Å, b = 21.0244 Å, c = 3.4292 Å
α = 90.00°, β = 90.00°, γ = 90.00°
Space group Cmmm (No. 65)
Symmetry-distinct sites (fractional):
Dy 0.0000 0.0000 0.0000 [2 per cell]
Dy 0.1138 0.2372 0.0000 [8 per cell]
Dy 0.1143 0.4094 0.0000 [8 per cell]
Tm 0.1683 0.0870 0.0000 [8 per cell]
Zn 0.0000 0.1296 0.5000 [4 per cell]
Zn 0.0000 0.3251 0.5000 [4 per cell]
Zn 0.0000 0.5000 0.5000 [2 per cell]
Zn 0.2214 0.5000 0.5000 [4 per cell]
Zn 0.2355 0.3186 0.5000 [8 per cell]

Calculated formation energy   -0.246 eV/atom
Theoretical density   8.55 g/cm3

## Ho2Hf3Ge4 (GGA-PBE)

Data for a relaxed Ho2Hf3Ge4 crystal.

a = 7.3896 Å, b = 7.3718 Å, c = 7.1942 Å
α = 90.00°, β = 109.92°, γ = 90.00°
Space group P2_1/c (No. 14)
Symmetry-distinct sites (fractional):
Ho 0.1878 0.1719 0.0625 [4 per cell]
Hf 0.2517 0.6737 0.2473 [4 per cell]
Hf 0.5000 0.0000 0.5000 [2 per cell]
Ge 0.0842 0.5354 0.8519 [4 per cell]
Ge 0.4876 0.1343 0.8619 [4 per cell]

Calculated formation energy   -0.819 eV/atom
Theoretical density   10.42 g/cm3

## CaSi2BSe (GGA-PBE)

Data for a relaxed CaSi2BSe crystal.

a = 5.4254 Å, b = 5.4254 Å, c = 5.2600 Å
α = 90.00°, β = 90.00°, γ = 90.00°
Space group P4/mmm (No. 123)
Symmetry-distinct sites (fractional):
Ca 0.0000 0.0000 0.0000 [1 per cell]
Si 0.0000 0.5000 0.0000 [2 per cell]
B 0.5000 0.5000 0.5000 [1 per cell]
Se 0.0000 0.0000 0.5000 [1 per cell]

Formation energy (no corrections)   1.853 eV per atom
Theoretical density   2.00 g/cm3

## Mg2Ga6Pd (GGA-PBE)

Data for a relaxed Mg2Ga6Pd crystal.

a = 10.0473 Å, b = 5.2379 Å, c = 6.2897 Å
α = 90.00°, β = 94.38°, γ = 90.00°
Space group C2/m (No. 12)
Symmetry-distinct sites (fractional):
Mg 0.1540 0.0000 0.4049 [4 per cell]
Ga 0.0996 0.2456 0.8395 [8 per cell]
Ga 0.1637 0.5000 0.1998 [4 per cell]
Pd 0.0000 0.5000 0.5000 [2 per cell]

Calculated formation energy   -0.208 eV/atom
Theoretical density   5.77 g/cm3

## Dy8TlCo2 (GGA-PBE)

Data for a relaxed Dy8TlCo2 crystal.

a = 8.6054 Å, b = 13.1884 Å, c = 5.3146 Å
α = 90.00°, β = 103.34°, γ = 90.00°
Space group C2/m (No. 12)
Symmetry-distinct sites (fractional):
Dy 0.0000 0.2496 0.0000 [4 per cell]
Dy 0.1104 0.0000 0.8003 [4 per cell]
Dy 0.2001 0.3687 0.5711 [8 per cell]
Tl 0.0000 0.5000 0.0000 [2 per cell]
Co 0.0000 0.1940 0.5000 [4 per cell]

Calculated formation energy   -0.104 eV/atom
Theoretical density   9.18 g/cm3

## Tb4Sm3Sc (GGA-PBE)

Data for a relaxed Tb4Sm3Sc crystal.

a = 11.3195 Å, b = 7.2461 Å, c = 6.2512 Å
α = 90.00°, β = 90.00°, γ = 90.00°
Space group Pmn2_1 (No. 31)
Symmetry-distinct sites (fractional):
Tb 0.0000 0.1251 0.0000 [2 per cell]
Tb 0.0000 0.8742 0.5064 [2 per cell]
Tb 0.2447 0.1264 0.3394 [4 per cell]
Sm 0.0000 0.6250 0.0019 [2 per cell]
Sm 0.2503 0.3772 0.8329 [4 per cell]
Sc 0.0000 0.3734 0.5006 [2 per cell]

Calculated formation energy   0.030 eV/atom
Theoretical density   7.33 g/cm3

## Zr2AlFe5B2 (GGA-PBE)

Data for a relaxed Zr2AlFe5B2 crystal.

a = 8.8395 Å, b = 8.8395 Å, c = 3.0103 Å
α = 90.00°, β = 90.00°, γ = 90.00°
Space group P4/mbm (No. 127)
Symmetry-distinct sites (fractional):
Zr 0.1770 0.3230 0.0000 [4 per cell]
Al 0.0000 0.0000 0.0000 [2 per cell]
Fe 0.0000 0.5000 0.5000 [2 per cell]
Fe 0.0675 0.7774 0.5000 [8 per cell]
B 0.1203 0.6203 0.0000 [4 per cell]

Calculated formation energy   -0.428 eV/atom
Theoretical density   7.20 g/cm3

## SrCo (GGA-PBE)

Data for a relaxed SrCo crystal.

a = 3.9598 Å, b = 18.8581 Å, c = 4.5277 Å
α = 90.00°, β = 90.00°, γ = 90.00°
Space group Cmmm (No. 65)
Symmetry-distinct sites (fractional):
Sr 0.0000 0.0000 0.0000 [2 per cell]
Sr 0.0000 0.3396 0.5000 [4 per cell]
Co 0.0000 0.2240 0.0000 [4 per cell]
Co 0.0000 0.5000 0.5000 [2 per cell]

Calculated formation energy   0.471 eV/atom
Theoretical density   4.32 g/cm3

## BeRe3 (GGA-PBE)

Data for a relaxed BeRe3 crystal.

a = 9.5081 Å, b = 3.0029 Å, c = 4.2357 Å
α = 90.00°, β = 116.31°, γ = 90.00°
Space group C2/m (No. 12)
Symmetry-distinct sites (fractional):
Be 0.0000 0.0000 0.0000 [2 per cell]
Re 0.0000 0.5000 0.5000 [2 per cell]
Re 0.2390 0.5000 0.2390 [4 per cell]

Calculated formation energy   0.058 eV/atom
Theoretical density   17.39 g/cm3

## SrSc2AgO (GGA-PBE)

Data for a relaxed SrSc2AgO crystal.

a = 4.4289 Å, b = 4.4289 Å, c = 5.2452 Å
α = 90.00°, β = 90.00°, γ = 90.00°
Space group P4/mmm (No. 123)
Symmetry-distinct sites (fractional):
Sr 0.0000 0.0000 0.0000 [1 per cell]
Sc 0.0000 0.5000 0.5000 [2 per cell]
Ag 0.5000 0.5000 0.0000 [1 per cell]
O 0.0000 0.0000 0.5000 [1 per cell]

Formation energy (no corrections)   -1.116 eV per atom
Theoretical density   4.86 g/cm3

## Pt3C5 (GGA-PBE)

Data for a relaxed Pt3C5 crystal.

a = 5.9947 Å, b = 9.0673 Å, c = 5.9949 Å
α = 90.00°, β = 120.00°, γ = 90.00°
Space group P2_1/m (No. 11)
Symmetry-distinct sites (fractional):
Pt 0.0399 0.2500 0.1522 [2 per cell]
Pt 0.3616 0.2500 0.8873 [2 per cell]
Pt 0.3734 0.7500 0.5260 [2 per cell]
C 0.0033 0.2500 0.7810 [2 per cell]
C 0.2674 0.7500 0.7783 [2 per cell]
C 0.2920 0.2500 0.5104 [2 per cell]
C 0.3239 0.6745 0.1621 [4 per cell]

Calculated formation energy   1.857 eV/atom
Theoretical density   7.59 g/cm3

## LiGaSe2 (GGA-PBE)

Data for a relaxed LiGaSe2 crystal.

a = 3.7858 Å, b = 18.4602 Å, c = 5.3788 Å
α = 90.00°, β = 90.00°, γ = 90.00°
Space group Cmcm (No. 63)
Symmetry-distinct sites (fractional):
Li 0.0000 0.0638 0.2500 [4 per cell]
Ga 0.0000 0.3276 0.2500 [4 per cell]
Se 0.0000 0.0819 0.7500 [4 per cell]
Se 0.0000 0.2015 0.2500 [4 per cell]

Formation energy (no corrections)   -0.460 eV per atom
Theoretical density   4.15 g/cm3

## Ac4AlHg3 (GGA-PBE)

Data for a relaxed Ac4AlHg3 crystal.

a = 4.0106 Å, b = 4.0106 Å, c = 16.1807 Å
α = 90.00°, β = 90.00°, γ = 90.00°
Space group P4/mmm (No. 123)
Symmetry-distinct sites (fractional):
Ac 0.0000 0.0000 0.1180 [2 per cell]
Ac 0.0000 0.0000 0.3735 [2 per cell]
Al 0.5000 0.5000 0.0000 [1 per cell]
Hg 0.5000 0.5000 0.2455 [2 per cell]
Hg 0.5000 0.5000 0.5000 [1 per cell]

Calculated formation energy   -0.411 eV/atom
Theoretical density   9.81 g/cm3

## LiSc2Pt (GGA-PBE)

Data for a relaxed LiSc2Pt crystal.

a = 7.5508 Å, b = 7.5508 Å, c = 5.8889 Å
α = 90.00°, β = 90.00°, γ = 90.00°
Space group I-42d (No. 122)
Symmetry-distinct sites (fractional):
Li 0.0000 0.0000 0.0000 [4 per cell]
Sc 0.2166 0.2500 0.6250 [8 per cell]
Pt 0.0000 0.0000 0.5000 [4 per cell]

Calculated formation energy   -0.299 eV/atom
Theoretical density   5.78 g/cm3

## InSb2Te (GGA-PBE)

Data for a relaxed InSb2Te crystal.

a = 13.0135 Å, b = 4.4325 Å, c = 4.5040 Å
α = 90.00°, β = 107.94°, γ = 90.00°
Space group C2/m (No. 12)
Symmetry-distinct sites (fractional):
In 0.0000 0.0000 0.0000 [2 per cell]
Sb 0.2464 0.0000 0.2134 [4 per cell]
Te 0.0000 0.5000 0.5000 [2 per cell]

Formation energy (no corrections)   -0.081 eV per atom
Theoretical density   6.53 g/cm3

## Np2Tl3CdSe6 (GGA-PBE)

Data for a relaxed Np2Tl3CdSe6 crystal.

a = 7.2171 Å, b = 12.5048 Å, c = 8.1471 Å
α = 90.00°, β = 107.07°, γ = 90.00°
Space group C2/m (No. 12)
Symmetry-distinct sites (fractional):
Np 0.0000 0.1669 0.0000 [4 per cell]
Tl 0.0000 0.0000 0.5000 [2 per cell]
Tl 0.0000 0.3342 0.5000 [4 per cell]
Cd 0.0000 0.5000 0.0000 [2 per cell]
Se 0.2288 0.0000 0.2033 [4 per cell]
Se 0.2386 0.3299 0.2059 [8 per cell]

Formation energy (no corrections)   -0.773 eV per atom
Theoretical density   7.91 g/cm3

## CsZr3Zn (GGA-PBE)

Data for a relaxed CsZr3Zn crystal.

a = 5.2471 Å, b = 5.2471 Å, c = 5.2471 Å
α = 90.00°, β = 90.00°, γ = 90.00°
Space group Pm-3m (No. 221)
Symmetry-distinct sites (fractional):
Cs 0.0000 0.0000 0.0000 [1 per cell]
Zr 0.0000 0.0000 0.5000 [3 per cell]
Zn 0.5000 0.5000 0.5000 [1 per cell]

Calculated formation energy   2.026 eV/atom
Theoretical density   5.43 g/cm3

## Y6TmS8 (GGA-PBE)

Data for a relaxed Y6TmS8 crystal.

a = 11.0463 Å, b = 11.0463 Å, c = 11.0463 Å
α = 90.00°, β = 90.00°, γ = 90.00°
Space group Fm-3m (No. 225)
Symmetry-distinct sites (fractional):
Y 0.0000 0.2500 0.2500 [24 per cell]
Tm 0.0000 0.0000 0.0000 [4 per cell]
S 0.0000 0.0000 0.2475 [24 per cell]
S 0.2500 0.2500 0.2500 [8 per cell]

Formation energy (no corrections)   -2.055 eV per atom
Theoretical density   4.73 g/cm3

| no. | size of the total moment (μB/cell) |
| --- | --- |
| 1 | 0.00 |
| 2 | 0.00 |
| 3 | 11.88 |
| 4 | 0.00 |
| 5 | 0.00 |
| 6 | 0.00 |
| 7 | 0.54 |
| 8 | 0.00 |
| 9 | 0.00 |
| 10 | 0.00 |
| 11 | 5.96 |
| 12 | 6.29 |
| 13 | 0.00 |
| 14 | 0.00 |
| 15 | 0.00 |
| 16 | 0.00 |
| 17 | 0.42 |
| 18 | 4.01 |
| 19 | 0.00 |
| 20 | 14.00 |
| 21 | 0.64 |
| 22 | 0.00 |